(1)
A relaxed structure of SiIrW2, computed with PBE.

Cell: 4.8880 4.8880 2.7781 Å, 89.97 89.97 116.12°
Sites, in units of the cell vectors:
W (0.0000, 0.0000, 0.0000)
W (0.5000, 0.5000, 0.0000)
Ir (0.5000, 0.0000, 0.5000)
Si (0.0000, 0.5000, 0.5000)

Computed properties:
- E_form (uncorrected): -1.88 kJ per mole of atoms
- Uncorrected energy: -40.3 eV for the cell shown
- Symmetry: Cmmm (65)


(2)
A relaxed structure of SiIr2W, computed with PBE.

Cell: 4.7156 4.7156 4.7156 Å, 131.32 131.32 71.30°
Sites, in units of the cell vectors:
W (0.7500, 0.2500, 0.5000)
Ir (0.0000, 0.0000, 0.0000)
Ir (0.5000, 0.5000, 0.0000)
Si (0.2500, 0.7500, 0.5000)

Computed properties:
- E_form (uncorrected): -15.00 kJ per mole of atoms
- Uncorrected energy: -36.7 eV for the cell shown
- Symmetry: I4/mmm (139)


(3)
A relaxed structure of SiIrW2, computed with PBE.

Cell: 8.9414 8.9414 8.9414 Å, 18.09 18.09 18.09°
Sites, in units of the cell vectors:
Si (0.7539, 0.7539, 0.7539)
Ir (0.4948, 0.4948, 0.4948)
W (0.2462, 0.2462, 0.2462)
W (0.0051, 0.0051, 0.0051)

Computed properties:
- E_form (uncorrected): 2.43 kJ per mole of atoms
- Uncorrected energy: -40.1 eV for the cell shown
- Symmetry: R3m (160)


(4)
A relaxed structure of SiIrW, computed with PBE.

Cell: 5.4153 5.4153 5.4153 Å, 149.63 147.94 44.75°
Sites, in units of the cell vectors:
Ir (0.9832, 0.9832, 0.0000)
W (0.6786, 0.6786, 0.0000)
Si (0.3382, 0.3382, 0.0000)

Computed properties:
- E_form (uncorrected): -21.28 kJ per mole of atoms
- Uncorrected energy: -27.9 eV for the cell shown
- Symmetry: Imm2 (44)
- Polymorph energy (0 for the lowest one): 65 meV per atom


(5)
A relaxed structure of SiIrW, computed with PBE.

Cell: 4.1593 4.2367 6.6703 Å, 127.40 108.17 90.00°
Sites, in units of the cell vectors:
W (0.5807, 0.9125, 0.1615)
W (0.4193, 0.0875, 0.8385)
Si (0.2483, 0.2609, 0.4966)
Si (0.7517, 0.7391, 0.5034)
Ir (0.8842, 0.4897, 0.7683)
Ir (0.1158, 0.5103, 0.2317)

Computed properties:
- E_form (uncorrected): -23.03 kJ per mole of atoms
- Uncorrected energy: -55.9 eV for the cell shown
- Symmetry: C2/m (12)
- Polymorph energy (0 for the lowest one): 47 meV per atom


(6)
A relaxed structure of SiIr2W, computed with PBE.

Cell: 5.1811 5.1811 5.1811 Å, 147.75 129.06 61.59°
Sites, in units of the cell vectors:
W (0.2500, 0.7500, 0.5000)
Ir (0.9714, 0.9714, 0.0000)
Ir (0.5286, 0.5286, 0.0000)
Si (0.7500, 0.2500, 0.5000)

Computed properties:
- E_form (uncorrected): -24.55 kJ per mole of atoms
- Uncorrected energy: -37.1 eV for the cell shown
- Symmetry: Immm (71)


(7)
A relaxed structure of SiIr2W, computed with PBE.

Cell: 2.8237 3.8088 5.3914 Å, 90.00 90.00 90.00°
Sites, in units of the cell vectors:
W (0.5000, 0.5000, 0.7500)
Si (0.5000, 0.5000, 0.2500)
Ir (0.0000, 0.0000, 0.4976)
Ir (0.0000, 0.0000, 0.0024)

Computed properties:
- E_form (uncorrected): -21.96 kJ per mole of atoms
- Uncorrected energy: -37.0 eV for the cell shown
- Symmetry: Pmmm (47)


(8)
A relaxed structure of SiIr2W, computed with PBE.

Cell: 3.8060 3.9104 3.9104 Å, 90.00 90.00 90.00°
Sites, in units of the cell vectors:
Si (0.5000, 0.5000, 0.0000)
W (0.5000, 0.0000, 0.5000)
Ir (0.0000, 0.0000, 0.0000)
Ir (0.0000, 0.5000, 0.5000)

Computed properties:
- E_form (uncorrected): -2.90 kJ per mole of atoms
- Uncorrected energy: -36.2 eV for the cell shown
- Symmetry: P4/mmm (123)


(9)
A relaxed structure of SiIr2W, computed with PBE.

Cell: 6.1700 4.6613 2.8074 Å, 89.98 62.96 121.66°
Sites, in units of the cell vectors:
Si (0.0000, 0.5000, 0.5000)
Ir (0.5000, 0.0000, 0.5000)
Ir (0.0000, 0.0000, 0.0000)
W (0.5000, 0.5000, 0.0000)

Computed properties:
- E_form (uncorrected): -14.21 kJ per mole of atoms
- Uncorrected energy: -36.7 eV for the cell shown
- Symmetry: Cmmm (65)


(10)
A relaxed structure of SiIrW2, computed with PBE.

Cell: 2.8633 2.8633 7.1373 Å, 90.00 90.00 90.00°
Sites, in units of the cell vectors:
W (0.0000, 0.0000, 0.9827)
W (0.0000, 0.0000, 0.5173)
Si (0.5000, 0.5000, 0.7500)
Ir (0.5000, 0.5000, 0.2500)

Computed properties:
- E_form (uncorrected): -11.16 kJ per mole of atoms
- Uncorrected energy: -40.7 eV for the cell shown
- Symmetry: P4/mmm (123)


(11)
A relaxed structure of SiIr2W, computed with PBE.

Cell: 4.3552 4.3552 4.3552 Å, 60.00 60.00 60.00°
Sites, in units of the cell vectors:
Ir (0.0000, 0.0000, 0.0000)
Ir (0.2500, 0.2500, 0.2500)
Si (0.5000, 0.5000, 0.5000)
W (0.7500, 0.7500, 0.7500)

Computed properties:
- E_form (uncorrected): 4.17 kJ per mole of atoms
- Uncorrected energy: -35.9 eV for the cell shown
- Symmetry: F-43m (216)


(12)
A relaxed structure of SiIrW2, computed with PBE.

Cell: 2.7727 4.1116 5.2044 Å, 90.00 90.00 90.00°
Sites, in units of the cell vectors:
Si (0.5000, 0.5000, 0.7500)
W (0.0000, 0.0000, 0.9928)
W (0.0000, 0.0000, 0.5072)
Ir (0.5000, 0.5000, 0.2500)

Computed properties:
- E_form (uncorrected): -9.67 kJ per mole of atoms
- Uncorrected energy: -40.6 eV for the cell shown
- Symmetry: Pmmm (47)


Which of these has the lowest E_form (uncorrected)?
number 6